[1]
Below is LiCd2Au2 at its PBEsol-relaxed geometry, with properties calculated at the meta-GGA SCAN level.

Calculated values
As for the formation energy: -0.331 eV/atom. The final energy is -40.6375 eV per atom. As for the space group: P4/mbm.

Cell: 3.3012 7.6445 7.6445 Å, 90.00 90.00 90.00°
Closest atoms and distances in Å follow each position.
Element x y z (fractional)
Cd (0.5000, 0.8368, 0.3368)  6 Au 2.72-2.83
Cd (0.5000, 0.1632, 0.6632)  6 Au 2.72-2.83
Cd (0.5000, 0.6632, 0.8368)  6 Au 2.72-2.83
Cd (0.5000, 0.3368, 0.1632)  6 Au 2.72-2.83
Au (0.0000, 0.6363, 0.1363)  6 Cd 2.72-2.83, 1 Au 2.95, 2 Li 2.97
Au (0.0000, 0.1363, 0.3637)  6 Cd 2.72-2.83, 1 Au 2.95, 2 Li 2.97
Au (0.0000, 0.8637, 0.6363)  6 Cd 2.72-2.83, 1 Au 2.95, 2 Li 2.97
Au (0.0000, 0.3637, 0.8637)  6 Cd 2.72-2.83, 1 Au 2.95, 2 Li 2.97
Li (0.0000, 0.5000, 0.5000)  4 Au 2.97, 2 Li 3.30, 8 Cd 3.30
Li (0.0000, 0.0000, 0.0000)  4 Au 2.97, 2 Li 3.30, 8 Cd 3.30


[2]
Below is CuSi2Te at its PBEsol-relaxed geometry, with properties calculated at the meta-GGA SCAN level.

Calculated values
The final energy is -17.5077 eV per atom. As for the space group: P4/mmm.

Cell: 3.6805 3.6805 5.2302 Å, 90.00 90.00 90.00°
Closest atoms and distances in Å follow each position.
Element x y z (fractional)
Te (0.5000, 0.5000, 0.5000)  4 Cu 2.60
Cu (0.0000, 0.0000, 0.5000)  4 Te 2.60
Si (0.0000, 0.5000, 0.0000)  4 Si 2.60
Si (0.5000, 0.0000, 0.0000)  4 Si 2.60


[3]
Below is RbInSb2I at its PBEsol-relaxed geometry, with properties calculated at the meta-GGA SCAN level.

Calculated values
The final energy is -32.2519 eV per atom. The value obtained for the offset from the most stable computed form is 885 meV/atom. As for the space group: P4/mmm.

Cell: 6.1392 6.1392 6.4141 Å, 90.00 90.00 90.00°
Closest atoms and distances in Å follow each position.
Element x y z (fractional)
Sb (0.5000, 0.0000, 0.0000)  2 Rb 3.07
Sb (0.0000, 0.5000, 0.0000)  2 Rb 3.07
Rb (0.0000, 0.0000, 0.0000)  4 Sb 3.07, 2 I 3.21
In (0.5000, 0.5000, 0.5000)  4 I 4.34, 8 Sb 4.44
I (0.0000, 0.0000, 0.5000)  2 Rb 3.21